one) SrCo2Ru after structural relaxation. Source: Alexandria via LeMat-Bulk, functional PBE.

Properties
- Calculated volume: 16.77 Å³/atom
- Spin magnetization: 1.104 μB per atom
- Space-group type: Pmmm (47)

Structure (POSCAR):
```
SrCo2Ru
1.0
3.293 0.000 0.000
0.000 4.412 0.000
0.000 0.000 4.618
Sr Co Ru
1 2 1
Cartesian
0.000 0.000 0.000
0.000 2.206 2.309
1.646 2.206 0.000
1.646 0.000 2.309
```

=====

two) SrCo2Ru after structural relaxation. Source: Alexandria via LeMat-Bulk, functional PBE.

Properties
- Calculated volume: 16.62 Å³/atom
- Spin magnetization: 1.044 μB per atom
- Space-group type: Fm-3m (225)

Structure (POSCAR):
```
SrCo2Ru
1.0
6.431 0.000 0.000
0.000 6.431 0.000
0.000 0.000 6.431
Sr Co Ru
4 8 4
Cartesian
0.000 0.000 0.000
0.000 3.215 3.215
3.215 0.000 3.215
3.215 3.215 0.000
1.608 1.608 1.608
1.608 1.608 4.823
1.608 4.823 1.608
1.608 4.823 4.823
4.823 1.608 1.608
4.823 1.608 4.823
4.823 4.823 1.608
4.823 4.823 4.823
0.000 0.000 3.215
0.000 3.215 0.000
3.215 0.000 0.000
3.215 3.215 3.215
```

=====

three) SrCo2Ru after structural relaxation. Source: Alexandria via LeMat-Bulk, functional PBE.

Properties
- Calculated volume: 17.81 Å³/atom
- Spin magnetization: 1.055 μB per atom
- Space-group type: Immm (71)

Structure (POSCAR):
```
SrCo2Ru
1.0
3.065 0.000 0.000
0.000 5.005 0.000
0.000 0.000 9.287
Sr Co Ru
2 4 2
Cartesian
0.000 0.000 0.000
1.532 2.502 4.643
0.000 2.502 1.955
0.000 2.502 7.332
1.532 0.000 2.689
1.532 0.000 6.598
0.000 0.000 4.643
1.532 2.502 0.000
```

=====

four) SrCo2Ru after structural relaxation. Source: Alexandria via LeMat-Bulk, functional PBE.

Properties
- Calculated volume: 16.29 Å³/atom
- Spin magnetization: 0.785 μB per atom
- Space-group type: R-3m (166)

Structure (POSCAR):
```
SrCo2Ru
1.0
2.887 0.000 0.000
-1.443 2.500 0.000
0.000 0.000 27.083
Sr Co Ru
3 6 3
Cartesian
0.000 0.000 0.000
0.000 1.667 18.055
1.443 0.833 9.028
0.000 0.000 6.427
0.000 0.000 20.656
0.000 1.667 11.628
0.000 1.667 24.482
1.443 0.833 2.601
1.443 0.833 15.454
0.000 0.000 13.541
0.000 1.667 4.514
1.443 0.833 22.569
```

=====

Which of them is most stable, and which least? Most stable: two); least stable: four).

=====

one) SrCoRu2 after structural relaxation. Source: Alexandria via LeMat-Bulk, functional PBE.

Properties
- Calculated volume: 18.79 Å³/atom
- Spin magnetization: 0.558 μB per atom
- Space-group type: C2/m (12)

Structure (POSCAR):
```
SrCoRu2
1.0
8.990 0.000 0.000
0.000 3.028 0.000
-1.419 0.000 5.522
Sr Co Ru
2 2 4
Cartesian
0.000 0.000 0.000
4.495 1.514 0.000
-0.709 1.514 2.761
3.786 0.000 2.761
1.022 0.000 3.613
2.055 1.514 1.909
5.517 1.514 3.613
6.550 0.000 1.909
```

=====

two) SrCoRu2 after structural relaxation. Source: Alexandria via LeMat-Bulk, functional PBE.

Properties
- Calculated volume: 18.27 Å³/atom
- Spin magnetization: 0.282 μB per atom
- Space-group type: Amm2 (38)

Structure (POSCAR):
```
SrCoRu2
1.0
4.137 0.000 0.000
0.000 2.889 0.000
0.000 0.000 12.233
Sr Co Ru
2 2 4
Cartesian
0.000 0.000 0.000
0.000 1.444 6.117
2.068 0.000 7.932
2.068 1.444 1.816
0.000 0.000 9.132
0.000 1.444 3.016
2.068 0.000 3.881
2.068 1.444 9.997
```

=====

three) SrCoRu2 after structural relaxation. Source: Alexandria via LeMat-Bulk, functional PBE.

Properties
- Calculated volume: 17.87 Å³/atom
- Spin magnetization: 0.803 μB per atom
- Space-group type: Imm2 (44)

Structure (POSCAR):
```
SrCoRu2
1.0
3.005 0.000 0.000
0.000 4.971 0.000
0.000 0.000 9.571
Sr Co Ru
2 2 4
Cartesian
0.000 0.000 0.000
1.502 2.485 4.785
0.000 2.485 7.502
1.502 0.000 2.716
0.000 0.000 4.710
0.000 2.485 2.044
1.502 0.000 6.829
1.502 2.485 9.496
```

=====

four) SrCoRu2 after structural relaxation. Source: Alexandria via LeMat-Bulk, functional PBE.

Properties
- Calculated volume: 16.76 Å³/atom
- Spin magnetization: 0.249 μB per atom
- Space-group type: Cmmm (65)

Structure (POSCAR):
```
SrCoRu2
1.0
5.589 0.000 0.000
0.000 8.912 0.000
0.000 0.000 2.692
Sr Co Ru
2 2 4
Cartesian
0.000 0.000 0.000
2.795 4.456 0.000
0.000 4.456 0.000
2.795 0.000 0.000
1.397 2.228 1.346
1.397 6.684 1.346
4.192 2.228 1.346
4.192 6.684 1.346
```

=====

Which of them is most stable, and which least? Most stable: two); least stable: four).

=====

one) TaCoRu after structural relaxation. Source: Alexandria via LeMat-Bulk, functional PBE.

Properties
- Calculated volume: 16.68 Å³/atom
- Spin magnetization: 0.000 μB per atom
- Space-group type: F-43m (216)

Structure (POSCAR):
```
TaCoRu
1.0
5.849 0.000 0.000
0.000 5.849 0.000
0.000 0.000 5.849
Ta Co Ru
4 4 4
Cartesian
0.000 0.000 0.000
0.000 2.925 2.925
2.925 0.000 2.925
2.925 2.925 0.000
1.462 1.462 4.387
1.462 4.387 1.462
4.387 1.462 1.462
4.387 4.387 4.387
1.462 1.462 1.462
1.462 4.387 4.387
4.387 1.462 4.387
4.387 4.387 1.462
```

=====

two) TaCoRu after structural relaxation. Source: Alexandria via LeMat-Bulk, functional PBE.

Properties
- Calculated volume: 14.55 Å³/atom
- Spin magnetization: 0.613 μB per atom
- Space-group type: I4mm (107)

Structure (POSCAR):
```
TaCoRu
1.0
3.155 0.000 0.000
0.000 3.155 0.000
0.000 0.000 8.768
Ta Co Ru
2 2 2
Cartesian
0.000 0.000 0.000
1.578 1.578 4.384
0.000 0.000 5.769
1.578 1.578 1.385
0.000 0.000 2.927
1.578 1.578 7.311
```

=====

three) TaCoRu after structural relaxation. Source: Alexandria via LeMat-Bulk, functional PBE.

Properties
- Calculated volume: 14.53 Å³/atom
- Spin magnetization: 0.472 μB per atom
- Space-group type: P3m1 (156)

Structure (POSCAR):
```
TaCoRu
1.0
4.273 0.000 0.000
-2.137 3.701 0.000
0.000 0.000 2.757
Ta Co Ru
1 1 1
Cartesian
0.000 0.000 0.000
2.137 1.234 0.741
0.000 2.467 1.861
```

=====

four) TaCoRu after structural relaxation. Source: Alexandria via LeMat-Bulk, functional PBE.

Properties
- Calculated volume: 13.94 Å³/atom
- Spin magnetization: 0.000 μB per atom
- Space-group type: P6_3/mmc (194)

Structure (POSCAR):
```
TaCoRu
1.0
4.256 0.000 0.000
-2.128 3.686 0.000
0.000 0.000 5.334
Ta Co Ru
2 2 2
Cartesian
0.000 2.457 1.333
2.128 1.229 4.000
0.000 2.457 4.000
2.128 1.229 1.333
0.000 0.000 0.000
0.000 0.000 2.667
```

=====

Which of them is most stable, and which least? Most stable: four); least stable: one).

=====

one) TaCoRu after structural relaxation. Source: Alexandria via LeMat-Bulk, functional PBE.

Properties
- Calculated volume: 14.32 Å³/atom
- Spin magnetization: 0.528 μB per atom
- Space-group type: I4mm (107)

Structure (POSCAR):
```
TaCoRu
1.0
2.768 0.000 0.000
0.000 2.768 0.000
0.000 0.000 11.212
Ta Co Ru
2 2 2
Cartesian
0.000 0.000 0.000
1.384 1.384 5.606
0.000 0.000 3.703
1.384 1.384 9.309
0.000 0.000 7.685
1.384 1.384 2.079
```

=====

two) TaCoRu after structural relaxation. Source: Alexandria via LeMat-Bulk, functional PBE.

Properties
- Calculated volume: 15.97 Å³/atom
- Spin magnetization: 0.385 μB per atom
- Space-group type: F-43m (216)

Structure (POSCAR):
```
TaCoRu
1.0
5.765 0.000 0.000
0.000 5.765 0.000
0.000 0.000 5.765
Ta Co Ru
4 4 4
Cartesian
0.000 0.000 0.000
0.000 2.882 2.882
2.882 0.000 2.882
2.882 2.882 0.000
1.441 1.441 1.441
1.441 4.324 4.324
4.324 1.441 4.324
4.324 4.324 1.441
0.000 0.000 2.882
0.000 2.882 0.000
2.882 0.000 0.000
2.882 2.882 2.882
```

=====

Which of them is most stable, and which least? Most stable: one); least stable: two).

=====

one) Ta3CoRu after structural relaxation. Source: Alexandria via LeMat-Bulk, functional PBE.

Properties
- Calculated volume: 18.39 Å³/atom
- Spin magnetization: 0.000 μB per atom
- Space-group type: Pm-3m (221)

Structure (POSCAR):
```
Ta3CoRu
1.0
4.514 0.000 0.000
0.000 4.514 0.000
0.000 0.000 4.514
Ta Co Ru
3 1 1
Cartesian
0.000 0.000 2.257
0.000 2.257 0.000
2.257 0.000 0.000
0.000 0.000 0.000
2.257 2.257 2.257
```

=====

two) Ta3CoRu after structural relaxation. Source: Alexandria via LeMat-Bulk, functional PBE.

Properties
- Calculated volume: 21.42 Å³/atom
- Spin magnetization: 0.322 μB per atom
- Space-group type: Pm-3m (221)

Structure (POSCAR):
```
Ta3CoRu
1.0
4.749 0.000 0.000
0.000 4.749 0.000
0.000 0.000 4.749
Ta Co Ru
3 1 1
Cartesian
0.000 0.000 2.374
0.000 2.374 0.000
2.374 0.000 0.000
2.374 2.374 2.374
0.000 0.000 0.000
```

=====

Which of them is most stable, and which least? Most stable: one); least stable: two).

=====

one) TaVCoRu2 after structural relaxation. Source: Alexandria via LeMat-Bulk, functional PBE.

Properties
- Calculated volume: 16.12 Å³/atom
- Spin magnetization: 0.000 μB per atom
- Space-group type: P4/mmm (123)

Structure (POSCAR):
```
TaVCoRu2
1.0
4.447 0.000 0.000
0.000 4.447 0.000
0.000 0.000 4.075
Ta V Co Ru
1 1 1 2
Cartesian
0.000 0.000 0.000
2.224 2.224 0.000
2.224 2.224 2.038
0.000 2.224 2.038
2.224 0.000 2.038
```

=====

two) TaVCoRu2 after structural relaxation. Source: Alexandria via LeMat-Bulk, functional PBE.

Properties
- Calculated volume: 20.03 Å³/atom
- Spin magnetization: 0.363 μB per atom
- Space-group type: P4/mmm (123)

Structure (POSCAR):
```
TaVCoRu2
1.0
4.658 0.000 0.000
0.000 4.658 0.000
0.000 0.000 4.617
Ta V Co Ru
1 1 1 2
Cartesian
0.000 0.000 0.000
0.000 0.000 2.308
2.329 2.329 2.308
0.000 2.329 0.000
2.329 0.000 0.000
```

=====

Which of them is most stable, and which least? Most stable: one); least stable: two).

=====

one) Tb8Co2Ru after structural relaxation. Source: Alexandria via LeMat-Bulk, functional PBE.

Properties
- Calculated volume: 25.54 Å³/atom
- Spin magnetization: 0.000 μB per atom
- Space-group type: Cm (8)

Structure (POSCAR):
```
Tb8Co2Ru
1.0
4.045 -6.290 0.000
4.045 6.290 0.000
-1.917 0.000 5.520
Tb Co Ru
8 2 1
Cartesian
0.000 0.000 0.000
0.094 1.627 3.252
2.559 2.678 1.018
0.094 -1.627 3.252
3.107 1.626 4.303
2.559 -2.678 1.018
3.107 -1.626 4.303
5.122 0.000 2.040
1.602 3.811 3.780
1.602 -3.811 3.780
2.554 0.000 1.045
```

=====

two) Tb8Co2Ru after structural relaxation. Source: Alexandria via LeMat-Bulk, functional PBE.

Properties
- Calculated volume: 24.70 Å³/atom
- Spin magnetization: 0.000 μB per atom
- Space-group type: C2/m (12)

Structure (POSCAR):
```
Tb8Co2Ru
1.0
8.562 -2.479 0.000
8.562 2.479 0.000
-1.904 0.000 6.398
Tb Co Ru
8 2 1
Cartesian
0.063 0.000 1.877
1.868 0.000 5.262
4.614 0.000 3.371
6.859 0.000 0.318
8.361 0.000 6.080
10.605 0.000 3.027
13.351 0.000 1.136
15.157 0.000 4.521
2.862 0.000 1.318
12.358 0.000 5.080
7.610 0.000 3.199
```

=====

Which of them is most stable, and which least? Most stable: two); least stable: one).

=====

one) Tb3CoRu after structural relaxation. Source: Alexandria via LeMat-Bulk, functional PBE.

Properties
- Calculated volume: 24.02 Å³/atom
- Spin magnetization: 0.000 μB per atom
- Space-group type: P-1 (2)

Structure (POSCAR):
```
Tb3CoRu
1.0
6.430 0.000 0.000
2.858 5.946 0.000
2.946 1.996 6.283
Tb Co Ru
6 2 2
Cartesian
2.486 2.863 1.588
6.441 6.732 4.504
5.386 4.974 1.409
6.847 2.968 4.874
5.793 1.210 1.779
9.748 5.079 4.694
4.638 3.109 3.338
7.595 4.833 2.945
4.227 2.916 6.082
8.006 5.026 0.201
```

=====

two) Tb3CoRu after structural relaxation. Source: Alexandria via LeMat-Bulk, functional PBE.

Properties
- Calculated volume: 22.78 Å³/atom
- Spin magnetization: 0.108 μB per atom
- Space-group type: P2_1/m (11)

Structure (POSCAR):
```
Tb3CoRu
1.0
7.680 0.000 0.000
0.000 4.056 0.000
-3.185 0.000 7.313
Tb Co Ru
6 2 2
Cartesian
-0.025 1.014 1.621
-0.538 1.014 6.727
0.959 3.042 4.351
3.536 1.014 2.961
5.033 3.042 0.586
4.520 3.042 5.692
-1.459 1.014 4.082
5.954 3.042 3.231
2.054 3.042 1.355
2.440 1.014 5.958
```

=====

Which of them is most stable, and which least? Most stable: two); least stable: one).